VASP calculation (PBE-GGA) on a relaxed Sr2CrSi crystal.

```
Sr2CrSi
1.0
4.4639 -1.8548 0.0000
4.4639 1.8548 0.0000
-1.3245 0.0000 8.0710
Sr Cr Si
2 1 1
Direct
0.2368 0.2368 0.2175 Sr
0.7632 0.7632 0.7825 Sr
0.0000 0.0000 0.5000 Cr
0.5000 0.5000 0.0000 Si
```

SG = C2/m
Uncorrected energy = -4.10 eV per atom
Crystal system = monoclinic
Density of states at the Fermi level = 2.9 states/eV/cell
ΔE_f (raw) = 2.02 eV per formula unit